First-principles (PBE) data for a relaxed V3FeAg crystal, as listed in the Alexandria database.

a = 4.3092 Å, b = 4.3092 Å, c = 4.3092 Å
α = 90.00°, β = 90.00°, γ = 90.00°
Fractional positions:
1 V 0.5000 0.0000 0.0000
2 V 0.0000 0.0000 0.5000
3 V 0.0000 0.5000 0.0000
4 Ag 0.5000 0.5000 0.5000
5 Fe 0.0000 0.0000 0.0000

Calculated values
The value obtained for the density of states at the Fermi level is 5.00 states/eV/cell. Its magnetization is 0.0 μB per formula unit. The excess energy over the best structure of this formula in the dataset comes out at 0.000 eV per formula unit. For the density, the calculation gives 6.57 g/cm3.

=====

First-principles (PBE) data for a relaxed V2FeAg crystal, as listed in the Alexandria database.

a = 3.6125 Å, b = 3.6125 Å, c = 9.5709 Å
α = 79.12°, β = 79.12°, γ = 90.00°
Fractional positions:
1 Fe 0.5000 0.5000 0.0000
2 Fe 0.2500 0.7500 0.5000
3 V 0.3750 0.3947 0.7500
4 V 0.6053 0.1250 0.2500
5 V 0.1447 0.6250 0.2500
6 V 0.8750 0.8553 0.7500
7 Ag 0.0000 0.0000 0.0000
8 Ag 0.7500 0.2500 0.5000

Calculated values
The value obtained for the density of states at the Fermi level is 9.32 states/eV/cell. Its magnetization is 1.7 μB per formula unit. The excess energy over the best structure of this formula in the dataset comes out at 1.367 eV per formula unit. For the density, the calculation gives 7.33 g/cm3.

=====

First-principles (PBE) data for a relaxed FeAg2W crystal, as listed in the Alexandria database.

a = 2.7215 Å, b = 2.7215 Å, c = 8.5738 Å
α = 90.00°, β = 90.00°, γ = 90.00°
Fractional positions:
1 Ag 0.0000 0.0000 0.0127
2 Ag 0.0000 0.0000 0.4873
3 W 0.5000 0.5000 0.7500
4 Fe 0.5000 0.5000 0.2500

Calculated values
The value obtained for the density of states at the Fermi level is 4.48 states/eV/cell. Its magnetization is 2.9 μB per formula unit. The excess energy over the best structure of this formula in the dataset comes out at 0.981 eV per formula unit. For the density, the calculation gives 11.91 g/cm3.

=====

First-principles (PBE) data for a relaxed FeAg2W crystal, as listed in the Alexandria database.

a = 5.0519 Å, b = 5.0519 Å, c = 4.8157 Å
α = 81.82°, β = 81.82°, γ = 31.10°
Fractional positions:
1 Ag 0.0023 0.0023 0.9975
2 Ag 0.4977 0.4977 0.5025
3 Fe 0.7500 0.7500 0.7500
4 W 0.2500 0.2500 0.2500

Calculated values
The value obtained for the density of states at the Fermi level is 3.61 states/eV/cell. Its magnetization is 1.8 μB per formula unit. The excess energy over the best structure of this formula in the dataset comes out at 0.996 eV per formula unit. For the density, the calculation gives 12.04 g/cm3.

=====

First-principles (PBE) data for a relaxed FeAg2W crystal, as listed in the Alexandria database.

a = 4.6819 Å, b = 2.6655 Å, c = 5.1639 Å
α = 78.54°, β = 90.00°, γ = 90.00°
Fractional positions:
1 Fe 0.5000 0.2500 0.2500
2 Ag 0.0000 0.0710 0.0081
3 Ag 0.0000 0.4290 0.4919
4 W 0.5000 0.7500 0.7500

Calculated values
The value obtained for the density of states at the Fermi level is 2.77 states/eV/cell. Its magnetization is 2.1 μB per formula unit. The excess energy over the best structure of this formula in the dataset comes out at 1.110 eV per formula unit. For the density, the calculation gives 11.97 g/cm3.

=====

First-principles (PBE) data for a relaxed FeAgW2 crystal, as listed in the Alexandria database.

a = 4.7395 Å, b = 4.7395 Å, c = 4.7395 Å
α = 129.63°, β = 129.63°, γ = 74.00°
Fractional positions:
1 Fe 0.7500 0.2500 0.5000
2 W 0.0000 0.0000 0.0000
3 W 0.2500 0.7500 0.5000
4 Ag 0.5000 0.5000 0.0000

Calculated values
The value obtained for the density of states at the Fermi level is 3.21 states/eV/cell. Its magnetization is 2.6 μB per formula unit. The excess energy over the best structure of this formula in the dataset comes out at 1.114 eV per formula unit. For the density, the calculation gives 14.33 g/cm3.

=====

First-principles (PBE) data for a relaxed FeAgW2 crystal, as listed in the Alexandria database.

a = 9.4036 Å, b = 9.4036 Å, c = 9.4036 Å
α = 16.87°, β = 16.87°, γ = 16.87°
Fractional positions:
1 W 0.0080 0.0080 0.0080
2 W 0.4920 0.4920 0.4920
3 Ag 0.2500 0.2500 0.2500
4 Fe 0.7500 0.7500 0.7500

Calculated values
The value obtained for the density of states at the Fermi level is 4.03 states/eV/cell. Its magnetization is 0.5 μB per formula unit. The excess energy over the best structure of this formula in the dataset comes out at 0.661 eV per formula unit. For the density, the calculation gives 14.45 g/cm3.

=====

First-principles (PBE) data for a relaxed FeAg2W crystal, as listed in the Alexandria database.

a = 2.6873 Å, b = 2.6873 Å, c = 9.4973 Å
α = 90.00°, β = 90.00°, γ = 110.24°
Fractional positions:
1 Fe 0.5000 0.5000 0.2500
2 Ag 0.0000 0.0000 0.4896
3 Ag 0.0000 0.0000 0.0104
4 W 0.5000 0.5000 0.7500

Calculated values
The value obtained for the density of states at the Fermi level is 3.60 states/eV/cell. Its magnetization is 2.7 μB per formula unit. The excess energy over the best structure of this formula in the dataset comes out at 0.955 eV per formula unit. For the density, the calculation gives 11.75 g/cm3.

=====

First-principles (PBE) data for a relaxed FeAgW2 crystal, as listed in the Alexandria database.

a = 2.6670 Å, b = 2.6670 Å, c = 9.0456 Å
α = 90.00°, β = 90.00°, γ = 107.07°
Fractional positions:
1 Ag 0.5000 0.5000 0.2500
2 W 0.0000 0.0000 0.5212
3 W 0.0000 0.0000 0.9788
4 Fe 0.5000 0.5000 0.7500

Calculated values
The value obtained for the density of states at the Fermi level is 3.19 states/eV/cell. Its magnetization is 2.0 μB per formula unit. The excess energy over the best structure of this formula in the dataset comes out at 0.402 eV per formula unit. For the density, the calculation gives 14.35 g/cm3.

=====

First-principles (PBE) data for a relaxed FeAgW2 crystal, as listed in the Alexandria database.

a = 5.2287 Å, b = 5.2287 Å, c = 5.2287 Å
α = 145.10°, β = 130.77°, γ = 61.76°
Fractional positions:
1 W 0.0182 0.0182 0.0000
2 W 0.4818 0.4818 0.0000
3 Ag 0.7500 0.2500 0.5000
4 Fe 0.2500 0.7500 0.5000

Calculated values
The value obtained for the density of states at the Fermi level is 3.47 states/eV/cell. Its magnetization is 1.7 μB per formula unit. The excess energy over the best structure of this formula in the dataset comes out at 0.817 eV per formula unit. For the density, the calculation gives 14.40 g/cm3.

=====

First-principles (PBE) data for a relaxed FeAg2W crystal, as listed in the Alexandria database.

a = 4.5813 Å, b = 3.7005 Å, c = 3.7005 Å
α = 90.00°, β = 90.00°, γ = 90.00°
Fractional positions:
1 Ag 0.0000 0.5000 0.5000
2 Ag 0.0000 0.0000 0.0000
3 Fe 0.5000 0.5000 0.0000
4 W 0.5000 0.0000 0.5000

Calculated values
The value obtained for the density of states at the Fermi level is 4.68 states/eV/cell. Its magnetization is 1.5 μB per formula unit. The excess energy over the best structure of this formula in the dataset comes out at 1.745 eV per formula unit. For the density, the calculation gives 12.05 g/cm3.

=====

First-principles (PBE) data for a relaxed FeAg2W crystal, as listed in the Alexandria database.

a = 9.6864 Å, b = 9.6864 Å, c = 9.6864 Å
α = 16.51°, β = 16.51°, γ = 16.51°
Fractional positions:
1 Ag 0.9970 0.9970 0.9970
2 Ag 0.5030 0.5030 0.5030
3 Fe 0.2500 0.2500 0.2500
4 W 0.7500 0.7500 0.7500

Calculated values
The value obtained for the density of states at the Fermi level is 3.20 states/eV/cell. Its magnetization is 2.7 μB per formula unit. The excess energy over the best structure of this formula in the dataset comes out at 0.854 eV per formula unit. For the density, the calculation gives 11.82 g/cm3.